An optimized crystal structure of SrWAu, computed with PBE-GGA.

```
3
Lattice="-4.581 0.039 -2.335 -2.209 -4.426 -1.401 -4.169 -1.694 2.489" Properties=species:S:1:pos:R:3 pbc="T T T"
Sr -8.219 -4.561 -0.936
Au -5.479 -3.041 -0.624
W 0.000 0.000 0.000
```

Calculated values
VASP energy = -12.7 eV/cell
energy relative to the lowest polymorph listed for this composition = 1.079 eV/atom
energy of formation = 1.722 eV per atom